4
Lattice="0.378 0.601 4.594 -0.952 4.139 1.889 -3.818 0.548 2.594" Properties=species:S:1:pos:R:3 comment="PBE MnCrI2, relaxed" total_energy_ev_per_cell=-17.0 relative_energy_mev_per_atom=153 e_form_raw_ev_per_fu=4.94 pbc="T T T"
I -1.098 1.322 2.269
I -3.294 3.966 6.807
Cr 0.000 0.000 0.000
Mn -2.196 2.644 4.538